VASP calculation (GGA-PBE) on Sc2TiN after structural relaxation.

Calculated values
The final energy is -6.988 eV per atom. The calculation puts the formation energy (no corrections) at 22 kJ per mole of atoms. The calculation puts the magnetization at 0.00 μB per formula unit.

Cell and atoms, written as CIF:
```
data_Sc2TiN
_chemical_formula_sum 'Sc2 Ti1 N1'
_space_group_name_H-M_alt 'P 1'
_space_group_IT_number 1
_space_group_name_Hall 'P 1'
_cell_length_a 8.750
_cell_length_b 8.750
_cell_length_c 8.750
_cell_angle_alpha 22.35
_cell_angle_beta 22.35
_cell_angle_gamma 22.35
loop_
_atom_site_label
_atom_site_fract_x
_atom_site_fract_y
_atom_site_fract_z
Sc1 0.072 0.072 0.072
Sc2 0.928 0.928 0.928
Ti1 0.500 0.500 0.500
N1 0.000 0.000 0.000
```